MgTlSi | PBEsol | optimized geometry

Unit cell a=6.4704 b=6.4704 c=6.4704 alpha=150.74 beta=150.74 gamma=41.85
Positions (direct):
Mg 0.0000 0.0000 0.0000
Tl 0.3041 0.3041 0.0000
Si 0.6333 0.6333 0.0000

Summary:
The space group is I4mm (107). As for the calculated total energy: -9.49 eV per formula unit. The value obtained for the formation energy from raw total energies is 19.4 kJ per mole of atoms.

Ta2PN | PBEsol | optimized geometry

Unit cell a=4.1524 b=4.1524 c=4.1524 alpha=60.00 beta=60.00 gamma=60.00
Positions (direct):
Ta 0.2500 0.2500 0.2500
Ta 0.7500 0.7500 0.7500
P 0.0000 0.0000 0.0000
N 0.5000 0.5000 0.5000

Summary:
The space group is Fm-3m (225). As for the calculated total energy: -40.62 eV per formula unit. The value obtained for the formation energy from raw total energies is -28.9 kJ per mole of atoms.

InTeRu2 | PBEsol | optimized geometry

Unit cell a=4.6010 b=4.6010 c=4.6010 alpha=122.28 beta=122.28 gamma=86.10
Positions (direct):
In 0.0000 0.0000 0.0000
Te 0.5000 0.5000 0.0000
Ru 0.2500 0.7500 0.5000
Ru 0.7500 0.2500 0.5000

Summary:
The space group is I4/mmm (139). As for the calculated total energy: -25.95 eV per formula unit. The value obtained for the formation energy from raw total energies is 21.9 kJ per mole of atoms.

ZrZnRh2 | PBEsol | optimized geometry

Unit cell a=3.0129 b=3.8599 c=5.2722 alpha=90.00 beta=90.00 gamma=90.00
Positions (direct):
Zr 0.0000 0.0000 0.0000
Zn 0.5000 0.5000 0.7013
Rh 0.0000 0.0000 0.5216
Rh 0.5000 0.5000 0.2180

Summary:
The space group is Pmm2 (25). As for the calculated total energy: -28.98 eV per formula unit. The calculation puts the formation energy at -0.507 eV/atom.

RbLiSiRu2 | PBEsol | optimized geometry

Unit cell a=4.7392 b=4.7392 c=4.0255 alpha=90.00 beta=90.00 gamma=90.00
Positions (direct):
Rb 0.0000 0.0000 0.0000
Li 0.0000 0.0000 0.5000
Si 0.5000 0.5000 0.5000
Ru 0.0000 0.5000 0.0000
Ru 0.5000 0.0000 0.0000

Summary:
The space group is P4/mmm (123). As for the calculated total energy: -17.71 eV per formula unit. The value obtained for the formation energy from raw total energies is 219.4 kJ per mole of atoms.

K4Nb15O24 | PBEsol | optimized geometry

Unit cell a=9.2395 b=9.2395 c=9.2985 alpha=113.57 beta=113.57 gamma=52.70
Positions (direct):
K 0.0000 0.0000 0.0000
K 0.2468 0.2468 0.9958
K 0.5000 0.5000 0.0000
K 0.7532 0.7532 0.0042
Nb 0.0000 0.0000 0.5000
Nb 0.0621 0.5632 0.7504
Nb 0.1319 0.6183 0.5006
Nb 0.1909 0.6740 0.2303
Nb 0.2476 0.2476 0.5004
Nb 0.3260 0.8091 0.7697
Nb 0.3817 0.8681 0.4994
Nb 0.4368 0.9379 0.2496
Nb 0.5632 0.0621 0.7504
Nb 0.6183 0.1319 0.5006
Nb 0.6740 0.1909 0.2303
Nb 0.7524 0.7524 0.4996
Nb 0.8091 0.3260 0.7697
Nb 0.8681 0.3817 0.4994
Nb 0.9379 0.4368 0.2496
O 0.0638 0.0638 0.7546
O 0.0667 0.5586 0.2464
O 0.1192 0.6302 0.9986
O 0.1238 0.1238 0.5002
O 0.1856 0.1856 0.2479
O 0.1931 0.6862 0.7545
O 0.3123 0.3123 0.7545
O 0.3138 0.8069 0.2455
O 0.3698 0.8808 0.0014
O 0.3752 0.3752 0.5008
O 0.4337 0.4337 0.2356
O 0.4414 0.9333 0.7536
O 0.5586 0.0667 0.2464
O 0.5663 0.5663 0.7644
O 0.6248 0.6248 0.4992
O 0.6302 0.1192 0.9986
O 0.6862 0.1931 0.7545
O 0.6877 0.6877 0.2455
O 0.8069 0.3138 0.2455
O 0.8144 0.8144 0.7521
O 0.8762 0.8762 0.4998
O 0.8808 0.3698 0.0014
O 0.9333 0.4414 0.7536
O 0.9362 0.9362 0.2454

Summary:
The space group is C2/m (12). As for the calculated total energy: -388.85 eV per formula unit. The value obtained for the formation energy from raw total energies is -215.4 kJ per mole of atoms.

Ga2H6Se3O12 | PBEsol | optimized geometry

Unit cell a=8.4296 b=8.4296 c=8.4296 alpha=66.19 beta=66.19 gamma=66.19
Positions (direct):
Ga 0.0000 0.0000 0.0000
Ga 0.2418 0.2418 0.2418
Ga 0.5000 0.5000 0.5000
Ga 0.7418 0.7418 0.7418
H 0.0416 0.7691 0.7369
H 0.0729 0.5981 0.2043
H 0.0981 0.5729 0.7043
H 0.2043 0.0729 0.5981
H 0.2369 0.2691 0.5416
H 0.2691 0.5416 0.2369
H 0.5416 0.2369 0.2691
H 0.5729 0.7043 0.0981
H 0.5981 0.2043 0.0729
H 0.7043 0.0981 0.5729
H 0.7369 0.0416 0.7691
H 0.7691 0.7369 0.0416
Se 0.2293 0.8455 0.2909
Se 0.2909 0.2293 0.8455
Se 0.3455 0.7293 0.7909
Se 0.7293 0.7909 0.3455
Se 0.7909 0.3455 0.7293
Se 0.8455 0.2909 0.2293
O 0.0845 0.2154 0.8663
O 0.1397 0.9037 0.7865
O 0.1706 0.4946 0.2538
O 0.2154 0.8663 0.0845
O 0.2215 0.3516 0.9946
O 0.2538 0.1706 0.4946
O 0.2865 0.4037 0.6397
O 0.3516 0.9946 0.2215
O 0.3663 0.7154 0.5845
O 0.4037 0.6397 0.2865
O 0.4946 0.2538 0.1706
O 0.4946 0.8516 0.7215
O 0.5845 0.3663 0.7154
O 0.6397 0.2865 0.4037
O 0.6706 0.7538 0.9946
O 0.7154 0.5845 0.3663
O 0.7215 0.4946 0.8516
O 0.7538 0.9946 0.6706
O 0.7865 0.1397 0.9037
O 0.8516 0.7215 0.4946
O 0.8663 0.0845 0.2154
O 0.9037 0.7865 0.1397
O 0.9946 0.2215 0.3516
O 0.9946 0.6706 0.7538

Summary:
The space group is R3c (161). As for the calculated total energy: -127.00 eV per formula unit.

Bi2Pd5 | PBEsol | optimized geometry

Unit cell a=7.6417 b=7.6417 c=6.7535 alpha=115.10 beta=115.10 gamma=44.53
Positions (direct):
Bi 0.0980 0.0980 0.4071
Bi 0.3705 0.3705 0.1461
Bi 0.6295 0.6295 0.8539
Bi 0.9020 0.9020 0.5929
Pd 0.0256 0.5222 0.7336
Pd 0.1350 0.1350 0.8637
Pd 0.2482 0.7518 0.0000
Pd 0.4039 0.4039 0.5884
Pd 0.4778 0.9744 0.2664
Pd 0.5222 0.0256 0.7336
Pd 0.5961 0.5961 0.4116
Pd 0.7518 0.2482 0.0000
Pd 0.8650 0.8650 0.1363
Pd 0.9744 0.4778 0.2664

Summary:
The space group is C2/m (12). As for the calculated total energy: -40.31 eV per formula unit. The calculation puts the formation energy at -0.277 eV/atom.